(1)
Compound: LiLaMn2
Source: Alexandria via LeMat-Bulk
Functional: PBE-GGA
Structure: relaxed

## Properties
V: 19.1 Å³/atom
Total DFT energy (no corrections): -5.83 eV/atom
Total magnetization: 1.563 μB/atom
ΔE_f: 0.461 eV/atom

abc: 5.465 5.465 4.829
angles: 63.79 63.79 36.67
Site moments in Bohr magnetons follow the coordinates.
Positions (direct):
La 0.750 0.750 0.750  -0.35
Li 0.250 0.250 0.250  -0.07
Mn 0.982 0.982 0.018  3.38
Mn 0.518 0.518 0.482  3.38



(2)
Compound: CaHfB2
Source: Alexandria via LeMat-Bulk
Functional: PBE-GGA
Structure: relaxed

## Properties
V: 14.6 Å³/atom
Total DFT energy (no corrections): -5.80 eV/atom
Total magnetization: 0.000 μB/atom
ΔE_f: 0.528 eV/atom

abc: 4.355 4.355 4.355
angles: 60.00 60.00 60.00
Positions (direct):
Ca 0.000 0.000 0.000
B 0.250 0.250 0.250
B 0.750 0.750 0.750
Hf 0.500 0.500 0.500



(3)
Compound: CrHWAu
Source: Alexandria via LeMat-Bulk
Functional: PBE-GGA
Structure: relaxed

## Properties
V: 12.3 Å³/atom
Total DFT energy (no corrections): -7.06 eV/atom
Total magnetization: 0.000 μB/atom

abc: 7.016 3.034 4.642
angles: 90.00 96.99 90.00
Positions (direct):
Cr 0.284 0.000 0.236
Cr 0.284 0.500 0.736
H 0.381 0.000 0.599
H 0.381 0.500 0.099
W 0.998 0.000 0.693
W 0.998 0.500 0.193
Au 0.653 0.000 0.990
Au 0.653 0.500 0.490



(4)
Compound: Y2HoCu3
Source: Alexandria via LeMat-Bulk
Functional: PBE-GGA
Structure: relaxed

## Properties
V: 21.0 Å³/atom
Total DFT energy (no corrections): -5.22 eV/atom
Total magnetization: 0.000 μB/atom
ΔE_f: -0.252 eV/atom

abc: 4.911 4.911 6.022
angles: 90.00 90.00 120.00
Positions (direct):
Y 0.667 0.333 0.332
Y 0.333 0.667 0.668
Ho 0.000 0.000 0.000
Cu 0.000 0.000 0.500
Cu 0.667 0.333 0.836
Cu 0.333 0.667 0.164



(5)
Compound: Sc3MnC3
Source: Alexandria via LeMat-Bulk
Functional: PBE-GGA
Structure: relaxed

## Properties
V: 13.2 Å³/atom
Total DFT energy (no corrections): -8.41 eV/atom
Total magnetization: 0.001 μB/atom
ΔE_f: -0.436 eV/atom

abc: 4.716 6.302 6.303
angles: 100.24 90.00 90.00
Positions (direct):
Sc 0.750 0.597 0.837
Sc 0.750 0.108 0.892
Sc 0.750 0.163 0.403
Sc 0.250 0.403 0.163
Sc 0.250 0.892 0.108
Sc 0.250 0.837 0.597
Mn 0.250 0.308 0.692
Mn 0.750 0.692 0.308
C 0.250 0.584 0.831
C 0.250 0.122 0.877
C 0.250 0.169 0.416
C 0.750 0.416 0.169
C 0.750 0.878 0.123
C 0.750 0.831 0.584



(6)
Compound: BaSb2Au
Source: Alexandria via LeMat-Bulk
Functional: PBE-GGA
Structure: relaxed

## Properties
V: 29.2 Å³/atom
Total DFT energy (no corrections): -3.71 eV/atom
Total magnetization: 0.000 μB/atom

abc: 4.881 4.886 4.906
angles: 90.00 90.00 90.00
Positions (direct):
Au 0.500 0.000 0.500
Ba 0.000 0.500 0.500
Sb 0.000 0.000 0.000
Sb 0.500 0.500 0.000



(7)
Compound: Pr3Nd5Er4
Source: Alexandria via LeMat-Bulk
Functional: PBE-GGA
Structure: relaxed

## Properties
V: 34.9 Å³/atom
Total DFT energy (no corrections): -4.46 eV/atom
Total magnetization: 0.009 μB/atom
ΔE_f: 0.243 eV/atom

abc: 5.871 9.644 9.667
angles: 113.28 72.32 72.28
Positions (direct):
Pr 0.529 0.657 0.285
Pr 0.000 0.500 0.500
Pr 0.471 0.343 0.715
Nd 0.725 0.932 0.617
Nd 0.500 0.500 0.500
Nd 0.321 0.285 0.073
Nd 0.679 0.715 0.927
Nd 0.275 0.068 0.383
Er 0.944 0.257 0.856
Er 0.164 0.867 0.804
Er 0.836 0.133 0.196
Er 0.056 0.743 0.144



(8)
Compound: Li3ZnPd4
Source: Alexandria via LeMat-Bulk
Functional: PBE-GGA
Structure: relaxed

## Properties
V: 14.4 Å³/atom
Total DFT energy (no corrections): -3.83 eV/atom
Total magnetization: 0.000 μB/atom
ΔE_f: -0.359 eV/atom

abc: 5.722 5.722 5.722
angles: 77.96 129.48 124.94
Positions (direct):
Li 0.586 0.250 0.836
Li 0.827 0.000 0.827
Li 0.586 0.750 0.336
Zn 0.327 0.500 0.827
Pd 0.088 0.751 0.838
Pd 0.088 0.249 0.337
Pd 0.576 0.251 0.325
Pd 0.073 0.749 0.325



(9)
Compound: SrCd2Cu2
Source: Alexandria via LeMat-Bulk
Functional: PBE-GGA
Structure: relaxed

## Properties
V: 23.2 Å³/atom
Total DFT energy (no corrections): -2.42 eV/atom
Total magnetization: 0.000 μB/atom
ΔE_f: -0.075 eV/atom

abc: 4.810 4.810 6.060
angles: 66.62 66.62 90.00
Positions (direct):
Sr 0.000 0.000 0.000
Cu 0.750 0.250 0.500
Cu 0.250 0.750 0.500
Cd 0.359 0.359 0.283
Cd 0.641 0.641 0.717



(10)
Compound: MgP
Source: Alexandria via LeMat-Bulk
Functional: PBE-GGA
Structure: relaxed

## Properties
V: 19.4 Å³/atom
Total DFT energy (no corrections): -3.83 eV/atom
Total magnetization: 0.000 μB/atom
ΔE_f: -0.329 eV/atom

abc: 3.907 3.907 2.930
angles: 90.00 90.00 120.00
Positions (direct):
Mg 0.000 0.000 0.000
P 0.667 0.333 0.500



(11)
Compound: Tb2YMg4
Source: Alexandria via LeMat-Bulk
Functional: PBE-GGA
Structure: relaxed

## Properties
V: 30.3 Å³/atom
Total DFT energy (no corrections): -2.79 eV/atom
Total magnetization: 0.000 μB/atom
ΔE_f: 0.370 eV/atom

abc: 5.445 5.979 7.177
angles: 114.61 90.00 90.00
Positions (direct):
Tb 0.500 0.133 0.267
Tb 0.500 0.867 0.733
Y 0.000 0.500 0.000
Mg 0.500 0.617 0.235
Mg 0.000 0.741 0.482
Mg 0.500 0.383 0.765
Mg 0.000 0.259 0.518



(12)
Compound: CoBS3
Source: Alexandria via LeMat-Bulk
Functional: PBE-GGA
Structure: relaxed

## Properties
V: 17.5 Å³/atom
Total DFT energy (no corrections): -3.98 eV/atom
Total magnetization: 0.450 μB/atom

abc: 4.438 4.438 4.438
angles: 90.00 90.00 90.00
Site moments in Bohr magnetons follow the coordinates.
Positions (direct):
S 0.000 0.500 0.000  0.24
S 0.000 0.000 0.500  0.16
S 0.500 0.000 0.000  0.33
B 0.500 0.500 0.500  0.01
Co 0.000 0.000 0.000  1.11



(13)
Compound: CsTi2S
Source: Alexandria via LeMat-Bulk
Functional: PBE-GGA
Structure: relaxed

## Properties
V: 27.3 Å³/atom
Total DFT energy (no corrections): -4.92 eV/atom
Total magnetization: 0.000 μB/atom

abc: 4.942 4.942 9.608
angles: 75.10 75.10 90.00
Positions (direct):
Cs 0.000 0.000 0.000
Cs 0.750 0.250 0.500
S 0.500 0.500 0.000
S 0.250 0.750 0.500
Ti 0.375 0.125 0.250
Ti 0.375 0.625 0.250
Ti 0.375 0.625 0.750
Ti 0.875 0.625 0.750